Entry 1:
! PBE Al6GaAg3, optimized geometry; values from VASP
! magnetic moment: 0.00 μB per formula unit
! energy relative to the lowest polymorph listed for this composition: 0 meV/atom
! crystal system: trigonal
! energy of formation from the pure elements: -0.02 eV/atom
! energy: -34.3 eV/cell
! density: 5.40 g/cm3
&SYSTEM
  ibrav = 0, nat = 10, ntyp = 3
/
ATOMIC_SPECIES
Al 26.98 Al.upf
Ga 69.72 Ga.upf
Ag 107.87 Ag.upf
CELL_PARAMETERS angstrom
-1.410 1.566 2.048
1.886 -2.106 0.800
16.999 15.239 0.050
ATOMIC_POSITIONS angstrom
Al 7.489 5.126 1.236
Al 9.986 9.573 1.663
Al 14.457 11.373 1.257
Al 3.018 3.326 1.642
Al 2.442 0.601 1.221
Al 15.033 14.098 1.678
Ga 8.499 7.620 0.025
Ag 0.000 0.000 0.000
Ag 4.991 4.475 0.015
Ag 12.008 10.765 0.036

=====

Entry 2:
! PBE AlGa3Ag3, optimized geometry; values from VASP
! magnetic moment: 0.00 μB per formula unit
! energy relative to the lowest polymorph listed for this composition: 1 meV/atom
! crystal system: triclinic
! energy of formation from the pure elements: 0.06 eV/atom
! energy: -83.7 eV/cell
! density: 7.02 g/cm3
&SYSTEM
  ibrav = 0, nat = 28, ntyp = 3
/
ATOMIC_SPECIES
Al 26.98 Al.upf
Ga 69.72 Ga.upf
Ag 107.87 Ag.upf
CELL_PARAMETERS angstrom
6.882 -0.078 -4.525
-3.454 5.885 -4.604
-0.193 -0.148 13.469
ATOMIC_POSITIONS angstrom
Al 4.232 4.380 -7.962
Al 0.781 1.365 1.056
Al 1.778 5.793 -7.979
Al -0.137 -0.093 10.062
Ga 0.884 4.311 1.144
Ga 2.337 1.216 10.128
Ga 5.212 2.646 -3.589
Ga -1.849 5.785 0.910
Ga 2.536 4.339 -3.529
Ga 4.268 1.296 5.660
Ga -0.237 2.701 10.109
Ga -0.267 5.812 -3.630
Ga 1.624 2.884 5.461
Ga 5.928 1.300 0.968
Ga -1.080 4.382 5.620
Ga 3.277 2.932 1.164
Ag -0.907 4.310 -1.197
Ag 3.451 2.933 -5.699
Ag 1.589 2.733 -1.139
Ag 3.425 -0.126 7.891
Ag 2.447 1.383 3.316
Ag 0.883 4.412 -5.718
Ag -2.670 4.317 3.217
Ag -0.064 2.831 3.296
Ag 4.205 1.362 -1.160
Ag 0.721 1.354 7.767
Ag 5.038 -0.130 3.272
Ag -1.916 2.954 7.849

=====

Entry 3:
! PBE Al3GaAg4, optimized geometry; values from VASP
! magnetic moment: 0.00 μB per formula unit
! energy relative to the lowest polymorph listed for this composition: 20 meV/atom
! crystal system: monoclinic
! energy of formation from the pure elements: 0.00 eV/atom
! energy: -25.7 eV/cell
! density: 6.92 g/cm3
&SYSTEM
  ibrav = 0, nat = 8, ntyp = 3
/
ATOMIC_SPECIES
Al 26.98 Al.upf
Ga 69.72 Ga.upf
Ag 107.87 Ag.upf
CELL_PARAMETERS angstrom
-3.755 2.799 0.065
-1.227 -1.760 4.892
5.591 3.589 -0.316
ATOMIC_POSITIONS angstrom
Al 1.631 2.088 4.308
Al -1.022 2.540 0.332
Al -2.491 0.520 2.479
Ga 0.000 0.000 0.000
Ag 0.070 0.016 3.373
Ag 0.539 4.612 1.268
Ag -0.835 2.726 3.145
Ag 1.444 1.902 1.496

=====

Entry 4:
! PBE Al2GaAg2, optimized geometry; values from VASP
! magnetic moment: 0.00 μB per formula unit
! energy relative to the lowest polymorph listed for this composition: 39 meV/atom
! crystal system: tetragonal
! energy of formation from the pure elements: 0.03 eV/atom
! energy: -32.1 eV/cell
! density: 6.13 g/cm3
&SYSTEM
  ibrav = 0, nat = 10, ntyp = 3
/
ATOMIC_SPECIES
Ga 69.72 Ga.upf
Ag 107.87 Ag.upf
Al 26.98 Al.upf
CELL_PARAMETERS angstrom
-0.938 -7.969 -1.446
3.269 -1.704 7.272
-2.515 0.087 1.151
ATOMIC_POSITIONS angstrom
Ga 0.000 0.000 0.000
Ga 1.166 -4.837 2.913
Ag 2.404 -4.047 5.560
Ag 1.411 -7.758 3.670
Ag -0.073 -5.626 0.266
Ag 0.920 -1.916 2.156
Al 0.674 -2.043 4.955
Al 1.006 -6.445 6.012
Al -0.858 -7.543 2.022
Al -1.189 -3.142 0.965

=====

Entry 5:
! PBE Al3Ga2Ag8, optimized geometry; values from VASP
! magnetic moment: 0.00 μB per formula unit
! energy relative to the lowest polymorph listed for this composition: 33 meV/atom
! crystal system: monoclinic
! energy of formation from the pure elements: 0.05 eV/atom
! energy: -39.4 eV/cell
! density: 7.34 g/cm3
&SYSTEM
  ibrav = 0, nat = 13, ntyp = 3
/
ATOMIC_SPECIES
Al 26.98 Al.upf
Ga 69.72 Ga.upf
Ag 107.87 Ag.upf
CELL_PARAMETERS angstrom
-2.152 -2.742 1.829
2.068 -5.808 -6.272
4.635 0.968 6.903
ATOMIC_POSITIONS angstrom
Al -1.076 -1.371 0.915
Al 5.141 -0.456 5.363
Al 1.563 -4.384 -4.732
Ga 1.884 -2.377 2.887
Ga 2.668 -5.204 -0.427
Ag 2.227 -3.316 -2.350
Ag 2.325 -4.265 4.810
Ag -0.665 -3.252 2.812
Ag 5.217 -4.329 -0.352
Ag 3.566 -4.252 2.056
Ag 2.516 -1.304 5.239
Ag 2.036 -6.277 -2.779
Ag 0.986 -3.329 0.404

=====

Entry 6:
! PBE Al3Ga2Ag6, optimized geometry; values from VASP
! magnetic moment: 0.00 μB per formula unit
! crystal system: trigonal
! energy of formation from the pure elements: -0.01 eV/atom
! energy: -34.5 eV/cell
! density: 7.57 g/cm3
&SYSTEM
  ibrav = 0, nat = 11, ntyp = 3
/
ATOMIC_SPECIES
Al 26.98 Al.upf
Ga 69.72 Ga.upf
Ag 107.87 Ag.upf
CELL_PARAMETERS angstrom
2.968 0.000 0.182
1.478 2.573 0.182
-0.039 -0.023 24.915
ATOMIC_POSITIONS angstrom
Al 0.000 0.000 0.000
Al 3.197 1.850 20.727
Al 1.210 0.700 4.552
Ga 2.415 1.398 9.181
Ga 1.991 1.152 16.098
Ag 4.039 2.338 6.986
Ag 0.367 0.213 18.292
Ag 3.612 2.091 13.955
Ag 0.795 0.460 11.324
Ag 2.828 1.637 2.461
Ag 1.579 0.914 22.817

=====

> What is the energy of formation from the pure elements in the first record?

-0.02 eV/atom